{
  "formula": "LaPrSi2Cl2",
  "functional": "PBE",
  "state": "optimized geometry",
  "e_tot_ev_per_cell": -32.93,
  "m_tot_mub_per_cell": 0.006,
  "lattice_angstrom": [[-0.3982, -3.9125, 1.2295], [0.3857, 0.8707, -4.0089], [11.0632, -0.8493, 0.8800]],
  "species": ["Cl", "Cl", "La", "Pr", "Si", "Si"],
  "fractional_positions": [[0.3333, 0.6667, 0.3395], [0.6667, 0.3333, 0.6609], [0.0000, 0.0000, 0.1850], [0.0000, 0.0000, 0.8151], [0.6667, 0.3333, 0.0072], [0.3333, 0.6667, 0.9922]]
}